Entry 1:
The following is a PBE calculation of a relaxed Tb2Pd2Pt crystal, from Alexandria.

The structure in extended XYZ format:
```
10
Lattice="-3.031 6.505 2.890 3.031 -6.505 2.890 3.031 6.505 -2.890" Properties=species:S:1:pos:R:3 pbc="T T T"
Tb 1.482 2.038 0.000
Tb 1.482 -2.038 2.890
Tb 1.549 8.543 0.000
Tb 1.549 4.467 2.890
Pd 4.289 1.585 0.000
Pd 1.259 4.920 0.000
Pd 1.772 1.585 2.890
Pd -1.259 4.920 2.890
Pt 0.000 0.000 1.445
Pt 0.000 0.000 4.334
```

* energy relative to the elements: -809 meV per atom
* total energy: -5.947 eV per atom
* magnetic moment: 0.0 μB per cell



Entry 2:
The following is a PBE calculation of a relaxed Tb2Pd5Pt4 crystal, from Alexandria.

The structure in extended XYZ format:
```
11
Lattice="5.162 -2.770 0.000 5.162 2.770 0.000 -5.152 0.000 6.941" Properties=species:S:1:pos:R:3 pbc="T T T"
Tb -0.654 0.000 1.871
Tb 5.824 0.000 5.070
Pd 1.805 1.430 2.255
Pd 3.366 1.430 4.686
Pd 5.162 0.000 0.000
Pd 1.805 -1.430 2.255
Pd 3.366 -1.430 4.686
Pt 2.546 0.000 0.104
Pt 0.805 0.000 4.392
Pt 4.366 0.000 2.549
Pt 2.625 0.000 6.837
```

* energy relative to the elements: -562 meV per atom
* total energy: -5.961 eV per atom
* magnetic moment: 0.0 μB per cell



Entry 3:
The following is a PBE calculation of a relaxed Tb2PdPt4 crystal, from Alexandria.

The structure in extended XYZ format:
```
14
Lattice="3.919 0.000 0.000 0.000 3.919 0.000 0.000 0.000 18.387" Properties=species:S:1:pos:R:3 pbc="T T T"
Tb 0.000 0.000 1.920
Tb 0.000 0.000 16.467
Tb 1.960 1.960 7.273
Tb 1.960 1.960 11.114
Pd 0.000 0.000 9.194
Pd 1.960 1.960 0.000
Pt 0.000 0.000 6.557
Pt 0.000 0.000 11.830
Pt 0.000 1.960 4.597
Pt 0.000 1.960 13.790
Pt 1.960 0.000 4.597
Pt 1.960 0.000 13.790
Pt 1.960 1.960 2.637
Pt 1.960 1.960 15.751
```

* energy relative to the elements: -818 meV per atom
* total energy: -6.334 eV per atom
* magnetic moment: 0.0 μB per cell



Entry 4:
The following is a PBE calculation of a relaxed Tb3Pd2Pt crystal, from Alexandria.

The structure in extended XYZ format:
```
12
Lattice="3.818 2.204 5.728 -3.818 2.204 5.728 0.000 -4.409 5.728" Properties=species:S:1:pos:R:3 pbc="T T T"
Tb -2.526 0.034 7.160
Tb -1.292 -2.170 10.024
Tb 1.233 -2.204 7.160
Tb -1.233 2.204 10.024
Tb 1.292 2.170 7.160
Tb 2.526 -0.034 10.024
Pd 0.000 0.000 2.890
Pd 0.000 0.000 5.702
Pd 0.000 0.000 11.482
Pd 0.000 0.000 14.294
Pt 0.000 0.000 0.000
Pt 0.000 0.000 8.592
```

* energy relative to the elements: -959 meV per atom
* total energy: -6.012 eV per atom
* magnetic moment: 0.0 μB per cell



Entry 5:
The following is a PBE calculation of a relaxed Tb2Pd7Pt crystal, from Alexandria.

The structure in extended XYZ format:
```
10
Lattice="3.564 -7.238 0.000 3.564 7.238 0.000 -2.587 0.000 3.430" Properties=species:S:1:pos:R:3 pbc="T T T"
Tb 3.564 4.426 0.000
Tb 3.564 -4.426 0.000
Pd 0.000 0.000 0.000
Pd -0.141 1.440 2.572
Pd 2.271 2.625 1.715
Pd -0.141 -1.440 2.572
Pd 4.683 1.440 0.858
Pd 2.271 -2.625 1.715
Pd 4.683 -1.440 0.858
Pt 2.271 0.000 1.715
```

* energy relative to the elements: -557 meV per atom
* total energy: -5.723 eV per atom
* magnetic moment: 0.0 μB per cell



Entry 6:
The following is a PBE calculation of a relaxed TbPdPt crystal, from Alexandria.

The structure in extended XYZ format:
```
12
Lattice="4.427 0.000 0.000 0.000 9.240 0.000 0.000 0.000 5.689" Properties=species:S:1:pos:R:3 pbc="T T T"
Tb 0.000 1.759 1.422
Tb 0.000 7.481 4.267
Tb 2.214 2.861 4.267
Tb 2.214 6.379 1.422
Pd 0.000 1.011 4.267
Pd 0.000 8.229 1.422
Pd 2.214 3.609 1.422
Pd 2.214 5.631 4.267
Pt 0.000 4.620 0.000
Pt 0.000 4.620 2.844
Pt 2.214 0.000 0.000
Pt 2.214 0.000 2.844
```

* energy relative to the elements: -1015 meV per atom
* total energy: -6.303 eV per atom
* magnetic moment: 0.0 μB per cell



Entry 7:
The following is a PBE calculation of a relaxed TbPd5Pt crystal, from Alexandria.

The structure in extended XYZ format:
```
14
Lattice="5.014 0.000 0.000 0.000 5.370 0.000 0.000 0.000 9.538" Properties=species:S:1:pos:R:3 pbc="T T T"
Tb 0.000 0.000 0.000
Tb 2.507 2.685 4.769
Pd 0.000 0.000 6.904
Pd 0.000 1.369 2.417
Pd 0.000 4.001 2.417
Pd 1.256 0.000 4.587
Pd 1.251 2.685 9.356
Pd 2.507 1.316 7.185
Pd 2.507 2.685 2.136
Pd 2.507 4.053 7.185
Pd 3.758 0.000 4.587
Pd 3.763 2.685 9.356
Pt 0.000 2.685 6.884
Pt 2.507 0.000 2.115
```

* energy relative to the elements: -283 meV per atom
* total energy: -5.517 eV per atom
* magnetic moment: 0.0 μB per cell



Entry 8:
The following is a PBE calculation of a relaxed Tb4Pd3Pt crystal, from Alexandria.

The structure in extended XYZ format:
```
8
Lattice="3.735 0.000 0.000 0.000 4.580 0.000 0.000 0.000 10.576" Properties=species:S:1:pos:R:3 pbc="T T T"
Tb 0.000 0.000 0.000
Tb 0.000 2.290 2.876
Tb 1.867 0.000 5.230
Tb 1.867 2.290 8.159
Pd 0.000 0.000 7.625
Pd 0.000 2.290 5.808
Pd 1.867 2.290 0.482
Pt 1.867 0.000 2.343
```

* energy relative to the elements: -1002 meV per atom
* total energy: -6.020 eV per atom
* magnetic moment: 0.0 μB per cell



Entry 9:
The following is a PBE calculation of a relaxed TbPd2Pt4 crystal, from Alexandria.

The structure in extended XYZ format:
```
14
Lattice="7.473 -2.727 0.000 7.473 2.727 0.000 -5.103 0.000 7.094" Properties=species:S:1:pos:R:3 pbc="T T T"
Tb 0.000 0.000 0.000
Tb -1.552 0.000 4.258
Pd -0.010 1.364 6.252
Pd 4.292 0.000 3.971
Pd -0.010 -1.364 6.252
Pd 8.258 0.000 1.443
Pt 5.849 1.318 1.882
Pt 3.537 0.000 1.181
Pt 4.642 1.319 6.390
Pt 2.296 0.000 5.817
Pt 7.143 0.000 3.923
Pt 5.849 -1.318 1.882
Pt 11.138 0.000 1.271
Pt 4.642 -1.319 6.390
```

* energy relative to the elements: -244 meV per atom
* total energy: -5.841 eV per atom
* magnetic moment: 0.0 μB per cell



Entry 10:
The following is a PBE calculation of a relaxed TbPd4Pt5 crystal, from Alexandria.

The structure in extended XYZ format:
```
20
Lattice="8.132 0.000 0.000 0.000 9.356 0.000 0.000 0.000 4.710" Properties=species:S:1:pos:R:3 pbc="T T T"
Tb 2.033 2.339 0.277
Tb 6.099 7.017 4.433
Pd 0.447 7.017 2.872
Pd 2.033 4.759 3.495
Pd 2.033 9.275 3.495
Pd 3.619 7.017 2.872
Pd 4.513 2.339 1.838
Pd 6.099 0.081 1.215
Pd 6.099 4.597 1.215
Pd 7.685 2.339 1.838
Pt 0.643 4.801 1.169
Pt 0.643 9.233 1.169
Pt 2.033 7.017 0.440
Pt 3.423 4.801 1.169
Pt 3.423 9.233 1.169
Pt 4.708 0.123 3.541
Pt 4.708 4.555 3.541
Pt 6.099 2.339 4.270
Pt 7.489 0.123 3.541
Pt 7.489 4.555 3.541
```

* energy relative to the elements: -284 meV per atom
* total energy: -5.845 eV per atom
* magnetic moment: 0.0 μB per cell



Entry 11:
The following is a PBE calculation of a relaxed Tb4Pd6Pt7 crystal, from Alexandria.

The structure in extended XYZ format:
```
17
Lattice="-4.271 4.271 4.271 4.271 -4.271 4.271 4.271 4.271 -4.271" Properties=species:S:1:pos:R:3 pbc="T T T"
Tb 2.135 2.135 -2.135
Tb 2.135 -2.135 2.135
Tb -2.135 2.135 2.135
Tb 2.135 2.135 2.135
Pd 2.572 0.000 0.000
Pd 5.970 0.000 0.000
Pd 0.000 2.572 0.000
Pd 0.000 0.000 2.572
Pd 0.000 5.970 0.000
Pd 0.000 0.000 5.970
Pt 0.000 0.000 0.000
Pt 4.271 2.135 0.000
Pt 4.271 0.000 2.135
Pt 2.135 4.271 0.000
Pt 2.135 0.000 4.271
Pt 0.000 4.271 2.135
Pt 0.000 2.135 4.271
```

* energy relative to the elements: -832 meV per atom
* total energy: -6.242 eV per atom
* magnetic moment: 0.0 μB per cell



Entry 12:
The following is a PBE calculation of a relaxed TbPdPt crystal, from Alexandria.

The structure in extended XYZ format:
```
3
Lattice="4.472 0.000 0.000 -2.236 3.873 0.000 0.000 0.000 3.608" Properties=species:S:1:pos:R:3 pbc="T T T"
Tb 0.000 0.000 0.000
Pd 0.000 2.582 1.804
Pt 2.236 1.291 1.804
```

* energy relative to the elements: -856 meV per atom
* total energy: -6.144 eV per atom
* magnetic moment: 0.0 μB per cell



Q: Look up the total energy of the first one.
A: -5.947 eV per atom



What did the sixth record say?
The following is a PBE calculation of a relaxed TbPdPt crystal, from Alexandria.

The structure in extended XYZ format:
```
12
Lattice="4.427 0.000 0.000 0.000 9.240 0.000 0.000 0.000 5.689" Properties=species:S:1:pos:R:3 pbc="T T T"
Tb 0.000 1.759 1.422
Tb 0.000 7.481 4.267
Tb 2.214 2.861 4.267
Tb 2.214 6.379 1.422
Pd 0.000 1.011 4.267
Pd 0.000 8.229 1.422
Pd 2.214 3.609 1.422
Pd 2.214 5.631 4.267
Pt 0.000 4.620 0.000
Pt 0.000 4.620 2.844
Pt 2.214 0.000 0.000
Pt 2.214 0.000 2.844
```

* energy relative to the elements: -1015 meV per atom
* total energy: -6.303 eV per atom
* magnetic moment: 0.0 μB per cell



Q: What is the formula in the fourth record?
A: Tb3Pd2Pt